Record 1
Entry from Alexandria: a relaxed AlCrTc2Au crystal (PBE).

Cell lengths 4.432, 4.432, 4.316 Å; angles 90.00, 90.00, 90.00 degrees
Element x y z (fractional)
Al1 0.000 0.000 0.000
Cr1 0.000 0.000 0.500
Tc1 0.000 0.500 0.000
Tc2 0.500 0.000 0.000
Au1 0.500 0.500 0.500

Summary:
The calculation puts the formation enthalpy at 0 K at 1414 meV per atom. The calculation puts the spin magnetization at 0.002 μB per cell.

Record 2
Entry from Alexandria: a relaxed AlCrTcAu crystal (PBE).

Cell lengths 6.194, 6.194, 6.194 Å; angles 90.00, 90.00, 90.00 degrees
Element x y z (fractional)
Al1 0.000 0.000 0.000
Al2 0.000 0.500 0.500
Al3 0.500 0.000 0.500
Al4 0.500 0.500 0.000
Cr1 0.000 0.000 0.500
Cr2 0.000 0.500 0.000
Cr3 0.500 0.000 0.000
Cr4 0.500 0.500 0.500
Tc1 0.250 0.250 0.250
Tc2 0.250 0.750 0.750
Tc3 0.750 0.250 0.750
Tc4 0.750 0.750 0.250
Au1 0.250 0.250 0.750
Au2 0.250 0.750 0.250
Au3 0.750 0.250 0.250
Au4 0.750 0.750 0.750

Summary:
The calculation puts the formation enthalpy at 0 K at -45 meV per atom. The calculation puts the spin magnetization at 8.618 μB per cell.

Record 3
Entry from Alexandria: a relaxed AlZnCrAu crystal (PBE).

Cell lengths 6.283, 6.283, 6.283 Å; angles 90.00, 90.00, 90.00 degrees
Element x y z (fractional)
Al1 0.000 0.000 0.000
Al2 0.000 0.500 0.500
Al3 0.500 0.000 0.500
Al4 0.500 0.500 0.000
Zn1 0.000 0.000 0.500
Zn2 0.000 0.500 0.000
Zn3 0.500 0.000 0.000
Zn4 0.500 0.500 0.500
Cr1 0.250 0.250 0.750
Cr2 0.250 0.750 0.250
Cr3 0.750 0.250 0.250
Cr4 0.750 0.750 0.750
Au1 0.250 0.250 0.250
Au2 0.250 0.750 0.750
Au3 0.750 0.250 0.750
Au4 0.750 0.750 0.250

Summary:
The calculation puts the formation enthalpy at 0 K at -57 meV per atom. The calculation puts the spin magnetization at 14.810 μB per cell.

| no. | calculated total energy (eV/f.u.) |
| --- | --- |
| 1 | -30.305 |
| 2 | -27.190 |
| 3 | -18.146 |